1.
## ZrMn (PBE-GGA)

Data for a relaxed ZrMn crystal.

abc: 3.1612 3.1612 8.6651
angles: 90.00 90.00 120.00
Sites, in units of the cell vectors:
1 Zr 0.0000 0.0000 0.0000
2 Zr 0.0000 0.0000 0.5000
3 Mn 0.3333 0.6667 0.2500
4 Mn 0.6667 0.3333 0.7500

=====

2.
## ZrMn2 (PBE-GGA)

Data for a relaxed ZrMn2 crystal.

abc: 3.2364 3.2364 4.5645
angles: 90.00 90.00 90.00
Sites, in units of the cell vectors:
1 Zr 0.0000 0.0000 0.0000
2 Mn 0.0000 0.5000 0.5000
3 Mn 0.5000 0.0000 0.5000

=====

3.
## Zr2Mn (PBE-GGA)

Data for a relaxed Zr2Mn crystal.

abc: 8.6429 8.6429 8.6429
angles: 60.00 60.00 60.00
Sites, in units of the cell vectors:
1 Zr 0.0000 0.0000 0.0000
2 Zr 0.0000 0.0000 0.5000
3 Zr 0.0000 0.5000 0.0000
4 Zr 0.1861 0.1861 0.5639
5 Zr 0.1861 0.5639 0.1861
6 Zr 0.1861 0.5639 0.5639
7 Zr 0.4361 0.4361 0.8139
8 Zr 0.4361 0.8139 0.4361
9 Zr 0.4361 0.8139 0.8139
10 Zr 0.5000 0.0000 0.0000
11 Zr 0.5639 0.1861 0.1861
12 Zr 0.5639 0.1861 0.5639
13 Zr 0.5639 0.5639 0.1861
14 Zr 0.8139 0.4361 0.4361
15 Zr 0.8139 0.4361 0.8139
16 Zr 0.8139 0.8139 0.4361
17 Mn 0.1323 0.7892 0.7892
18 Mn 0.2108 0.2108 0.2108
19 Mn 0.2108 0.2108 0.8677
20 Mn 0.2108 0.8677 0.2108
21 Mn 0.7892 0.1323 0.7892
22 Mn 0.7892 0.7892 0.1323
23 Mn 0.7892 0.7892 0.7892
24 Mn 0.8677 0.2108 0.2108

=====

4.
## ZrMn2 (PBE-GGA)

Data for a relaxed ZrMn2 crystal.

abc: 6.1614 6.1614 6.1614
angles: 90.00 90.00 90.00
Sites, in units of the cell vectors:
1 Zr 0.0000 0.0000 0.0000
2 Zr 0.0000 0.5000 0.5000
3 Zr 0.5000 0.0000 0.5000
4 Zr 0.5000 0.5000 0.0000
5 Mn 0.1256 0.6256 0.8744
6 Mn 0.1256 0.8744 0.3744
7 Mn 0.3744 0.1256 0.8744
8 Mn 0.3744 0.3744 0.3744
9 Mn 0.6256 0.6256 0.6256
10 Mn 0.6256 0.8744 0.1256
11 Mn 0.8744 0.1256 0.6256
12 Mn 0.8744 0.3744 0.1256

=====

The following E_form values (in kcal/mol of atoms) correspond, in order, to the records above: 6.6, 9.0, -0.4, 26.8.
The following DOS(E_F) values (in states/eV/cell) correspond, in order, to the records above: 4.3, 4.0, 26.1, 14.9.